*one*
Ca2AsP GGA-PBEsol relaxed; SG = I-4m2, No. 119
1.0
-3.066 -0.388 -2.686
0.219 -4.075 0.338
-2.030 2.371 5.097
As Ca P
1 2 1
direct
0.250 0.750 0.500
0.000 0.000 0.000
0.750 0.250 0.500
0.500 0.500 0.000

=====

*two*
Ca2AsP GGA-PBEsol relaxed; SG = Fm-3m, No. 225
1.0
5.000 0.000 0.000
2.500 4.330 0.000
2.500 1.443 4.082
Ca P As
2 1 1
direct
0.750 0.750 0.750
0.250 0.250 0.250
0.500 0.500 0.500
0.000 0.000 0.000

=====

Relative energies, unit meV/atom: *one* 30; *two* 0

=====

*one*
CaScAs2 GGA-PBEsol relaxed; SG = I4/mmm, No. 139
1.0
-0.133 4.798 0.139
-0.850 -2.302 -4.278
-4.463 -0.073 -1.769
Sc As Ca
1 2 1
direct
0.000 0.000 0.000
0.250 0.500 0.250
0.750 0.500 0.750
0.500 0.000 0.500

=====

*two*
CaScAs2 GGA-PBEsol relaxed; SG = R-3m, No. 166
1.0
3.943 0.000 0.000
1.971 3.415 0.000
1.971 1.138 6.710
As Ca Sc
2 1 1
direct
0.759 0.759 0.722
0.241 0.241 0.278
0.000 0.000 0.000
0.500 0.500 0.500

=====

*three*
CaScAs2 GGA-PBEsol relaxed; SG = Immm, No. 71
1.0
-3.636 -0.101 -2.147
0.405 -1.642 -4.764
-1.862 -4.634 -0.784
Sc As Ca
1 2 1
direct
0.000 0.500 0.500
0.262 0.738 0.738
0.738 0.262 0.262
0.500 0.000 0.000

=====

Relative energies, unit meV/atom: *one* 256; *two* 0; *three* 214

=====

*one*
Cd2As GGA-PBEsol relaxed; SG = I4_1/amd, No. 141
1.0
-1.878 -1.187 -2.259
0.826 -2.937 0.856
-9.209 1.731 8.967
Cd As
4 2
direct
0.672 0.172 0.344
0.828 0.328 0.656
0.422 0.422 0.844
0.578 0.578 0.156
0.000 0.000 0.000
0.250 0.750 0.500

=====

*two*
Cd2As GGA-PBEsol relaxed; SG = I4/mmm, No. 139
1.0
-1.418 -0.283 2.758
-2.647 -0.781 -1.441
3.707 -5.579 -0.424
Cd As
2 1
direct
0.835 0.835 0.670
0.165 0.165 0.330
0.500 0.500 0.000

=====

*three*
Cd2As GGA-PBEsol relaxed; SG = P4/mmm, No. 123
1.0
3.858 0.000 0.000
0.000 4.229 0.000
0.000 0.000 4.229
As Cd
1 2
direct
0.000 0.000 0.000
0.500 0.500 0.000
0.500 0.000 0.500

=====

*four*
Cd2As GGA-PBEsol relaxed; SG = I4/mcm, No. 140
1.0
5.641 -0.016 -0.024
-2.560 5.026 0.024
-2.560 -1.878 4.662
Cd As
4 2
direct
0.500 0.818 0.682
0.500 0.182 0.318
0.865 0.682 0.182
0.135 0.318 0.818
0.000 0.250 0.250
0.000 0.750 0.750

=====

Relative energies, unit meV/atom: *one* 75; *two* 80; *three* 20; *four* 0

=====

*one*
CdFe2As GGA-PBEsol relaxed; SG = C2/m, No. 12
1.0
2.947 0.000 0.000
-1.474 3.967 0.013
0.000 -1.119 5.063
Fe As Cd
2 1 1
direct
0.741 0.482 0.684
0.259 0.518 0.316
0.000 0.000 0.500
0.500 0.000 0.000

=====

*two*
CdFe2As GGA-PBEsol relaxed; SG = F-43m, No. 216
1.0
4.344 0.000 0.000
2.172 3.762 0.000
2.172 1.254 3.547
Fe As Cd
2 1 1
direct
0.750 0.750 0.750
0.000 0.000 0.000
0.500 0.500 0.500
0.250 0.250 0.250

=====

Relative energies, unit meV/atom: *one* 0; *two* 198

=====

*one*
CdHg2As GGA-PBEsol relaxed; SG = R-3m, No. 166
1.0
-1.934 0.595 2.776
-2.578 -2.130 0.786
3.810 -5.207 5.896
As Cd Hg
1 1 2
direct
0.500 0.500 0.500
0.000 0.000 0.000
0.248 0.248 0.255
0.752 0.752 0.745

=====

*two*
CdHg2As GGA-PBEsol relaxed; SG = F-43m, No. 216
1.0
4.962 0.000 0.000
2.481 4.297 0.000
2.481 1.432 4.052
As Hg Cd
1 2 1
direct
0.500 0.500 0.500
0.250 0.250 0.250
0.000 0.000 0.000
0.750 0.750 0.750

=====

Relative energies, unit meV/atom: *one* 0; *two* 33

=====

*one*
Cd3AsIr GGA-PBEsol relaxed; SG = Pm-3m, No. 221
1.0
5.049 0.000 0.000
0.000 5.049 0.000
0.000 0.000 5.049
Cd As Ir
3 1 1
direct
0.500 0.000 0.000
0.000 0.500 0.000
0.000 0.000 0.500
0.500 0.500 0.500
0.000 0.000 0.000

=====

*two*
Cd3AsIr GGA-PBEsol relaxed; SG = Pm-3m, No. 221
1.0
4.919 0.000 0.000
0.000 4.919 0.000
0.000 0.000 4.919
Cd As Ir
3 1 1
direct
0.000 0.500 0.000
0.500 0.000 0.000
0.000 0.000 0.500
0.000 0.000 0.000
0.500 0.500 0.500

=====

Relative energies, unit meV/atom: *one* 0; *two* 391

=====

*one*
Mn2CdAs GGA-PBEsol relaxed; SG = Immm, No. 71
1.0
-0.232 2.961 1.954
1.756 -2.197 3.538
2.628 0.594 -3.823
Mn As Cd
2 1 1
direct
0.783 0.783 0.565
0.217 0.217 0.435
0.500 0.000 0.000
0.000 0.500 0.000

=====

*two*
Mn2CdAs GGA-PBEsol relaxed; SG = Imm2, No. 44
1.0
3.376 0.000 0.000
0.000 4.122 -0.298
-1.688 -1.740 4.608
Mn Cd As
2 1 1
direct
0.770 0.270 0.540
0.011 0.011 0.022
0.241 0.741 0.482
0.478 0.478 0.957

=====

Relative energies, unit meV/atom: *one* 8; *two* 0

=====

*one*
CdAsOs2 GGA-PBEsol relaxed; SG = I-4m2, No. 119
1.0
-2.999 -0.678 2.747
4.404 -0.348 1.628
1.348 3.177 2.256
As Os Cd
1 2 1
direct
0.500 0.000 0.500
0.250 0.500 0.250
0.000 0.000 0.000
0.750 0.500 0.750

=====

*two*
CdAsOs2 GGA-PBEsol relaxed; SG = Cm, No. 8
1.0
-0.160 1.126 2.643
2.264 -4.179 1.917
2.855 3.526 -2.896
Os As Cd
2 1 1
direct
0.977 0.853 0.954
0.267 0.846 0.535
0.529 0.517 0.059
0.726 0.284 0.453

=====

Relative energies, unit meV/atom: *one* 316; *two* 0

=====

*one*
CdAs3P GGA-PBEsol relaxed; SG = Pm-3m, No. 221
1.0
4.993 0.000 0.000
0.000 4.993 0.000
0.000 0.000 4.993
Cd As P
1 3 1
direct
0.000 0.000 0.000
0.000 0.500 0.000
0.500 0.000 0.000
0.000 0.000 0.500
0.500 0.500 0.500

=====

*two*
CdAs3P GGA-PBEsol relaxed; SG = Pm-3m, No. 221
1.0
-1.757 2.357 -3.739
-0.702 -4.121 -2.268
-4.364 -0.286 1.871
As Cd P
3 1 1
direct
0.000 0.500 0.000
0.000 0.000 0.500
0.500 0.000 0.000
0.500 0.500 0.500
0.000 0.000 0.000

=====

Relative energies, unit meV/atom: *one* 756; *two* 0

=====

*one*
Cd2AsPb GGA-PBEsol relaxed; SG = Imm2, No. 44
1.0
-3.301 -1.830 -0.729
0.686 -2.535 3.255
-1.609 6.011 2.333
Pb Cd As
1 2 1
direct
0.552 0.552 0.104
0.757 0.257 0.515
0.940 0.940 0.879
0.251 0.751 0.502

=====

*two*
Cd2AsPb GGA-PBEsol relaxed; SG = C2/m, No. 12
1.0
-1.625 1.390 -2.395
-4.258 -0.635 2.764
3.744 4.707 2.220
As Pb Cd
1 1 2
direct
0.500 0.500 0.000
0.000 0.000 0.000
0.500 0.500 0.500
0.000 0.000 0.500

=====

Relative energies, unit meV/atom: *one* 0; *two* 70

=====

*one*
CdAsPt GGA-PBEsol relaxed; SG = F-43m, No. 216
1.0
-4.053 -0.711 1.476
-1.322 -4.072 0.882
-0.630 -1.244 4.143
As Pt Cd
1 1 1
direct
0.000 0.000 0.000
0.750 0.750 0.750
0.500 0.500 0.500

=====

*two*
CdAsPt GGA-PBEsol relaxed; SG = P-6m2, No. 187
1.0
3.592 0.000 0.000
0.000 4.240 0.000
0.000 -2.120 3.672
Cd Pt As
1 1 1
direct
0.000 0.333 0.667
0.500 0.667 0.333
0.500 0.000 0.000

=====

Relative energies, unit meV/atom: *one* 0; *two* 110

=====

*one*
CdReAs GGA-PBEsol relaxed; SG = P3m1, No. 156
1.0
3.009 0.000 0.000
-1.505 2.606 0.000
0.000 0.000 6.769
Cd As Re
1 1 1
direct
0.333 0.667 0.649
0.000 0.000 0.047
0.667 0.333 0.305

=====

*two*
CdReAs GGA-PBEsol relaxed; SG = Fmm2, No. 42
1.0
-2.496 0.018 -1.360
2.004 -1.661 -1.144
-2.225 -5.227 5.706
Re Cd As
1 1 1
direct
0.345 0.345 0.691
0.689 0.689 0.377
0.966 0.966 0.932

=====

Relative energies, unit meV/atom: *one* 0; *two* 248